# 1
DFT (GGA+U) results for a geometry-optimized CsThV2O8 structure.

The structure in POSCAR format:
```
CsThV2O8
1.0
6.023 0.000 0.000
-3.011 5.216 0.000
0.000 0.000 8.632
Cs Th V O
1 1 2 8
Cartesian
0.000 0.000 0.000 Cs
0.000 0.000 4.316 Th
0.000 3.477 6.305 V
3.011 1.739 2.327 V
-0.030 1.813 5.733 O
-1.427 4.335 5.733 O
0.000 3.477 7.989 O
1.555 0.932 2.899 O
1.456 4.284 5.733 O
3.011 1.739 0.642 O
4.438 0.881 2.899 O
3.041 3.403 2.899 O
```

Values from the calculation:
VASP energy = -7.50 eV per atom
volume = 271.14 Å³ per cell
SG = No. 147
DOS at the Fermi energy = 10.34 states/eV/cell


# 2
DFT (GGA+U) results for a geometry-optimized CsTh2WO8 structure.

The structure in POSCAR format:
```
CsTh2WO8
1.0
5.293 0.000 0.000
1.342 5.469 0.000
2.507 0.229 7.012
Cs Th W O
1 2 1 8
Cartesian
0.000 0.000 0.000 Cs
3.272 2.488 2.042 Th
5.869 3.209 4.970 Th
1.253 0.114 3.506 W
2.215 1.626 4.291 O
2.265 0.443 1.900 O
3.955 4.196 3.985 O
4.751 2.831 6.910 O
4.390 2.867 0.102 O
5.186 1.501 3.027 O
6.876 5.254 5.112 O
6.926 4.071 2.721 O
```

Values from the calculation:
VASP energy = -7.85 eV per atom
volume = 202.95 Å³ per cell
SG = No. 2


# 3
DFT (GGA+U) results for a geometry-optimized CsThWO6 structure.

The structure in POSCAR format:
```
CsThWO6
1.0
2.855 -5.175 0.000
2.855 5.175 0.000
-0.126 0.000 6.555
Cs Th W O
1 1 1 6
Cartesian
0.000 0.000 0.000 Cs
2.792 -1.759 3.278 Th
2.792 1.588 3.278 W
1.810 2.966 4.413 O
1.288 1.914 2.111 O
2.078 0.158 4.347 O
3.774 2.966 2.143 O
4.295 1.914 4.444 O
3.505 0.158 2.209 O
```

Values from the calculation:
VASP energy = -7.38 eV per atom
volume = 193.69 Å³ per cell
SG = No. 5
DOS at the Fermi energy = 2.70 states/eV/cell


Which of these has the lowest VASP energy?
CsTh2WO8